Here is TcI2BrO after structural relaxation from Alexandria via LeMat-Bulk. Energies are from PBE.

Values from the calculation:
Density: 6186 kg/m3
DOS(E_F): 3.57 states/eV/cell
Relative energy among the computed polymorphs: 0.00 eV/f.u.
Energy relative to the elements, uncorrected: -0.151 eV/atom

Unit cell a=5.658 b=5.658 c=3.755 alpha=90.00 beta=90.00 gamma=90.00
Sites, in units of the cell vectors:
1 Tc 0.000 0.000 0.000
2 I 0.000 0.500 0.000
3 I 0.500 0.000 0.000
4 Br 0.500 0.500 0.500
5 O 0.000 0.000 0.500



Here is TcI2BrO after structural relaxation from Alexandria via LeMat-Bulk. Energies are from PBE.

Values from the calculation:
Density: 5209 kg/m3
DOS(E_F): 4.84 states/eV/cell
Relative energy among the computed polymorphs: 6.43 eV/f.u.
Energy relative to the elements, uncorrected: 1.136 eV/atom

Unit cell a=6.132 b=6.132 c=3.795 alpha=90.00 beta=90.00 gamma=90.00
Sites, in units of the cell vectors:
1 Tc 0.000 0.000 0.000
2 I 0.000 0.500 0.500
3 I 0.500 0.000 0.500
4 Br 0.500 0.500 0.500
5 O 0.500 0.500 0.000



Here is TiI2BrO after structural relaxation from Alexandria via LeMat-Bulk. Energies are from PBE.

Values from the calculation:
Density: 4654 kg/m3
DOS(E_F): 4.66 states/eV/cell
Relative energy among the computed polymorphs: 7.39 eV/f.u.
Energy relative to the elements, uncorrected: 0.625 eV/atom

Unit cell a=6.105 b=6.105 c=3.807 alpha=90.00 beta=90.00 gamma=90.00
Sites, in units of the cell vectors:
1 Ti 0.000 0.000 0.000
2 I 0.000 0.500 0.500
3 I 0.500 0.000 0.500
4 Br 0.500 0.500 0.500
5 O 0.500 0.500 0.000



Here is TiI2BrO after structural relaxation from Alexandria via LeMat-Bulk. Energies are from PBE.

Values from the calculation:
Density: 5286 kg/m3
DOS(E_F): 7.10 states/eV/cell
Relative energy among the computed polymorphs: 0.00 eV/f.u.
Energy relative to the elements, uncorrected: -0.853 eV/atom

Unit cell a=5.775 b=5.775 c=3.745 alpha=90.00 beta=90.00 gamma=90.00
Sites, in units of the cell vectors:
1 Ti 0.000 0.000 0.000
2 I 0.000 0.500 0.000
3 I 0.500 0.000 0.000
4 Br 0.500 0.500 0.500
5 O 0.000 0.000 0.500



Here is TlI2BrO after structural relaxation from Alexandria via LeMat-Bulk. Energies are from PBE.

Values from the calculation:
Density: 5890 kg/m3
DOS(E_F): 3.78 states/eV/cell
Relative energy among the computed polymorphs: 0.00 eV/f.u.
Energy relative to the elements, uncorrected: 0.143 eV/atom

Unit cell a=6.192 b=6.192 c=4.074 alpha=90.00 beta=90.00 gamma=90.00
Sites, in units of the cell vectors:
1 Tl 0.000 0.000 0.000
2 I 0.000 0.500 0.500
3 I 0.500 0.000 0.500
4 Br 0.500 0.500 0.500
5 O 0.500 0.500 0.000



Here is TlIBrO4 after structural relaxation from Alexandria via LeMat-Bulk. Energies are from PBE.

Values from the calculation:
Density: 4682 kg/m3
DOS(E_F): 2.12 states/eV/cell
Energy relative to the elements, uncorrected: -0.225 eV/atom

Unit cell a=6.181 b=6.181 c=10.145 alpha=110.62 beta=110.62 gamma=76.72
Sites, in units of the cell vectors:
1 Tl 0.053 0.053 0.219
2 Tl 0.947 0.947 0.781
3 I 0.307 0.307 0.657
4 I 0.693 0.693 0.343
5 Br 0.214 0.214 0.043
6 Br 0.786 0.786 0.957
7 O 0.127 0.127 0.672
8 O 0.225 0.617 0.746
9 O 0.254 0.254 0.457
10 O 0.383 0.775 0.254
11 O 0.617 0.225 0.746
12 O 0.746 0.746 0.543
13 O 0.775 0.383 0.254
14 O 0.873 0.873 0.328



Here is TlI2BrO after structural relaxation from Alexandria via LeMat-Bulk. Energies are from PBE.

Values from the calculation:
Density: 5628 kg/m3
DOS(E_F): 5.12 states/eV/cell
Relative energy among the computed polymorphs: 0.25 eV/f.u.
Energy relative to the elements, uncorrected: 0.192 eV/atom

Unit cell a=6.355 b=6.355 c=4.048 alpha=90.00 beta=90.00 gamma=90.00
Sites, in units of the cell vectors:
1 Tl 0.000 0.000 0.000
2 I 0.000 0.500 0.000
3 I 0.500 0.000 0.000
4 Br 0.500 0.500 0.500
5 O 0.000 0.000 0.500



Here is TmIBrO4 after structural relaxation from Alexandria via LeMat-Bulk. Energies are from PBE.

Values from the calculation:
Density: 6033 kg/m3
Energy relative to the elements, uncorrected: -1.312 eV/atom

Unit cell a=6.491 b=6.491 c=6.450 alpha=91.18 beta=91.18 gamma=63.02
Sites, in units of the cell vectors:
1 Tm 0.230 0.230 0.158
2 Tm 0.770 0.770 0.842
3 I 0.126 0.126 0.660
4 I 0.874 0.874 0.340
5 Br 0.446 0.446 0.836
6 Br 0.554 0.554 0.164
7 O 0.012 0.627 0.150
8 O 0.049 0.049 0.243
9 O 0.275 0.275 0.498
10 O 0.373 0.988 0.850
11 O 0.627 0.012 0.150
12 O 0.725 0.725 0.502
13 O 0.951 0.951 0.757
14 O 0.988 0.373 0.850